Here is a relaxed LaNiRh crystal from Alexandria via LeMat-Bulk. Energies are from GGA-PBE.

a = 4.196 Å, b = 4.196 Å, c = 4.046 Å
α = 90.00°, β = 90.00°, γ = 120.00°
Positions (direct):
La (0.000, 0.000, 0.000)
Ni (0.333, 0.667, 0.500)
Rh (0.667, 0.333, 0.500)

## Properties
Crystal system   hexagonal
Magnetization   0.00 μB/f.u.
E   -0.4797 Ry per atom
E_form   -0.51 eV per atom